[1]
Entry from Alexandria via LeMat-Bulk: a relaxed PaCu2Si2 crystal (PBE-GGA).

The space group is P2_1/m (No. 11) and the conventional cell measures 4.099, 4.101 and 9.477 Å, with angles of 90.00, 90.16 and 90.00 degrees. The distinct sites, in fractional coordinates, are Pa at (0.248, 0.250, 0.250), Cu at (0.250, 0.750, 0.500), Cu at (0.261, 0.250, 0.876), Si at (0.238, 0.750, 0.000) and Si at (0.251, 0.250, 0.634).

The calculation puts the density at 8.64 Mg/m³. Its total energy is -6.1042 eV/atom. The total magnetization is 0.00 Bohr magnetons per cell. The value obtained for the uncorrected formation energy is -397 meV per atom.


[2]
Entry from Alexandria via LeMat-Bulk: a relaxed Co2Ge2Ir crystal (PBE-GGA).

The space group is P4/mbm (No. 127) and the conventional cell measures 6.787, 6.787 and 2.798 Å, with angles of 90.00, 90.00 and 90.00 degrees. The distinct sites, in fractional coordinates, are Co at (0.142, 0.358, 0.000), Ge at (0.154, 0.654, 0.500) and Ir at (0.000, 0.000, 0.500).

The calculation puts the density at 11.74 Mg/m³. Its total energy is -6.5183 eV/atom. The total magnetization is 0.00 Bohr magnetons per cell. For the energy of formation, the calculation gives -0.06 eV/atom.


[3]
Entry from Alexandria via LeMat-Bulk: a relaxed LaPm2PrEr crystal (PBE-GGA).

The space group is P2/c (No. 13) and the conventional cell measures 9.156, 6.493 and 6.486 Å, with angles of 90.00, 109.80 and 90.00 degrees. The distinct sites, in fractional coordinates, are La at (0.000, 0.000, 0.000), Pm at (0.316, 0.325, 0.160), Pr at (0.500, 0.161, 0.750) and Er at (0.000, 0.495, 0.750).

The calculation puts the density at 6.75 Mg/m³. Its total energy is -4.4970 eV/atom. The total magnetization is 0.00 Bohr magnetons per cell. For the energy of formation, the calculation gives 0.26 eV/atom.


[4]
Entry from Alexandria via LeMat-Bulk: a relaxed KNaHg2Cl crystal (PBE-GGA).

The space group is P4/mmm (No. 123) and the conventional cell measures 5.945, 5.945 and 5.240 Å, with angles of 90.00, 90.00 and 90.00 degrees. The distinct sites, in fractional coordinates, are K at (0.000, 0.000, 0.000), Na at (0.500, 0.500, 0.500), Hg at (0.000, 0.500, 0.500) and Cl at (0.500, 0.500, 0.000).

The calculation puts the density at 4.47 Mg/m³. Its total energy is -1.5859 eV/atom. The total magnetization is 0.00 Bohr magnetons per cell. The value obtained for the uncorrected formation energy is -613 meV per atom.


[5]
Entry from Alexandria via LeMat-Bulk: a relaxed MnHgH crystal (PBE-GGA).

The space group is Pm (No. 6) and the conventional cell measures 4.929, 2.828 and 6.336 Å, with angles of 90.00, 97.36 and 90.00 degrees. The distinct sites, in fractional coordinates, are Mn at (0.000, 0.000, 0.000), Mn at (0.294, 0.000, 0.363), Hg at (0.506, 0.500, 0.967), Hg at (0.919, 0.500, 0.607), H at (0.077, 0.500, 0.200) and H at (0.489, 0.500, 0.447).

The calculation puts the density at 9.73 Mg/m³. Its total energy is -3.9753 eV/atom. The total magnetization is 6.77 Bohr magnetons per cell.


[6]
Entry from Alexandria via LeMat-Bulk: a relaxed La2CrCd crystal (PBE-GGA).

The space group is C2/m (No. 12) and the conventional cell measures 7.367, 3.472 and 9.264 Å, with angles of 90.00, 98.89 and 90.00 degrees. The distinct sites, in fractional coordinates, are La at (0.250, 0.000, 0.219), Cr at (0.000, 0.500, 0.000) and Cd at (0.000, 0.000, 0.500).

The calculation puts the density at 6.27 Mg/m³. Its total energy is -4.8233 eV/atom. The total magnetization is 5.78 Bohr magnetons per cell. For the energy of formation, the calculation gives 0.28 eV/atom.


[7]
Entry from Alexandria via LeMat-Bulk: a relaxed PmSm2Cd6 crystal (PBE-GGA).

The space group is P6/mmm (No. 191) and the conventional cell measures 8.7549, 8.7549 and 3.4427 Å, with angles of 90.00, 90.00 and 120.00 degrees. The distinct sites, in fractional coordinates, are Pm at (0.0000, 0.0000, 0.0000), Sm at (0.3333, 0.6667, 0.0000) and Cd at (0.0000, 0.3338, 0.5000).

The calculation puts the density at 8.14 Mg/m³. Its total energy is -2.5256 eV/atom. The total magnetization is 0.22 Bohr magnetons per cell. For the energy of formation, the calculation gives -0.34 eV/atom.


[8]
Entry from Alexandria via LeMat-Bulk: a relaxed CsZnBi3 crystal (PBE-GGA).

The space group is P1 (No. 1) and the conventional cell measures 6.407, 7.203 and 9.091 Å, with angles of 87.14, 82.94 and 85.06 degrees. The distinct sites, in fractional coordinates, are Cs at (0.000, 0.000, 0.000), Cs at (0.355, 0.475, 0.683), Zn at (0.032, 0.495, 0.179), Zn at (0.578, 0.064, 0.374), Bi at (0.211, 0.988, 0.549), Bi at (0.440, 0.689, 0.226), Bi at (0.446, 0.282, 0.130), Bi at (0.764, 0.533, 0.960), Bi at (0.881, 0.751, 0.425) and Bi at (0.889, 0.282, 0.438).

The calculation puts the density at 6.61 Mg/m³. Its total energy is -2.8420 eV/atom. The total magnetization is 0.00 Bohr magnetons per cell. For the energy of formation, the calculation gives -0.09 eV/atom.